# PaMn4Zn3O12, optimized geometry, DFT GGA+U
data_PaMn4Zn3O12
_symmetry_space_group_name_H-M 'P 1'
_symmetry_Int_Tables_number 1
_symmetry_space_group_name_Hall 'P 1'
_cell_length_a 6.5195
_cell_length_b 6.5195
_cell_length_c 6.5195
_cell_angle_alpha 109.47
_cell_angle_beta 109.47
_cell_angle_gamma 109.47
loop_
_atom_site_label
_atom_site_type_symbol
_atom_site_fract_x
_atom_site_fract_y
_atom_site_fract_z
_atom_site_occupancy
O1 O 0.1730 0.4622 0.2892 1
O2 O 0.1162 0.2892 0.8270 1
O3 O 0.2892 0.8270 0.1162 1
O4 O 0.5378 0.7108 0.8270 1
O5 O 0.8838 0.7108 0.1730 1
O6 O 0.1730 0.8838 0.7108 1
O7 O 0.7108 0.1730 0.8838 1
O8 O 0.4622 0.2892 0.1730 1
O9 O 0.8270 0.5378 0.7108 1
O10 O 0.8270 0.1162 0.2892 1
O11 O 0.2892 0.1730 0.4622 1
O12 O 0.7108 0.8270 0.5378 1
Mn1 Mn 0.5000 0.5000 0.5000 1
Mn2 Mn 0.0000 0.0000 0.5000 1
Mn3 Mn 0.5000 0.0000 0.0000 1
Mn4 Mn 0.0000 0.5000 0.0000 1
Zn1 Zn 0.5000 0.5000 0.0000 1
Zn2 Zn 0.0000 0.5000 0.5000 1
Zn3 Zn 0.5000 0.0000 0.5000 1
Pa1 Pa 0.0000 0.0000 0.0000 1
# energy	-6.88	eV/atom
# density of states at the Fermi level	4.67	states/eV/f.u.

# PaMnZnO4, optimized geometry, DFT GGA+U
data_PaMnZnO4
_symmetry_space_group_name_H-M 'P 1'
_symmetry_Int_Tables_number 1
_symmetry_space_group_name_Hall 'P 1'
_cell_length_a 6.2758
_cell_length_b 6.5037
_cell_length_c 6.5037
_cell_angle_alpha 64.88
_cell_angle_beta 61.15
_cell_angle_gamma 61.15
loop_
_atom_site_label
_atom_site_type_symbol
_atom_site_fract_x
_atom_site_fract_y
_atom_site_fract_z
_atom_site_occupancy
Zn1 Zn 0.3590 0.3910 0.8910 1
Zn2 Zn 0.6410 0.6090 0.1090 1
O1 O 0.7656 0.7473 0.2473 1
O2 O 0.7571 0.7556 0.7302 1
O3 O 0.2398 0.7473 0.2473 1
O4 O 0.7571 0.2302 0.2556 1
O5 O 0.7602 0.2527 0.7527 1
O6 O 0.2429 0.2444 0.2698 1
O7 O 0.2429 0.7698 0.7444 1
O8 O 0.2344 0.2527 0.7527 1
Pa1 Pa 0.0000 0.5000 0.5000 1
Pa2 Pa 0.0000 0.0000 0.0000 1
Mn1 Mn 0.0000 0.0000 0.5000 1
Mn2 Mn 0.5000 0.0000 0.5000 1
# energy	-7.67	eV/atom
# density of states at the Fermi level	1.70	states/eV/f.u.

# PaMnZn2O6, optimized geometry, DFT GGA+U
data_PaMnZn2O6
_symmetry_space_group_name_H-M 'P 1'
_symmetry_Int_Tables_number 1
_symmetry_space_group_name_Hall 'P 1'
_cell_length_a 4.2007
_cell_length_b 6.0067
_cell_length_c 6.0067
_cell_angle_alpha 90.00
_cell_angle_beta 90.00
_cell_angle_gamma 90.00
loop_
_atom_site_label
_atom_site_type_symbol
_atom_site_fract_x
_atom_site_fract_y
_atom_site_fract_z
_atom_site_occupancy
Pa1 Pa 0.6842 0.5000 0.5000 1
O1 O 0.7448 0.2443 0.7557 1
O2 O 0.2301 0.0000 0.0000 1
O3 O 0.7448 0.7557 0.7557 1
O4 O 0.7448 0.2443 0.2443 1
O5 O 0.1933 0.5000 0.5000 1
O6 O 0.7448 0.7557 0.2443 1
Zn1 Zn 0.8408 0.5000 0.0000 1
Zn2 Zn 0.8408 0.0000 0.5000 1
Mn1 Mn 0.6785 0.0000 0.0000 1
# energy	-6.67	eV/atom
# density of states at the Fermi level	3.25	states/eV/f.u.

# PaMnZnO5, optimized geometry, DFT GGA+U
data_PaMnZnO5
_symmetry_space_group_name_H-M 'P 1'
_symmetry_Int_Tables_number 1
_symmetry_space_group_name_Hall 'P 1'
_cell_length_a 5.7831
_cell_length_b 5.7831
_cell_length_c 7.4615
_cell_angle_alpha 104.01
_cell_angle_beta 104.01
_cell_angle_gamma 111.45
loop_
_atom_site_label
_atom_site_type_symbol
_atom_site_fract_x
_atom_site_fract_y
_atom_site_fract_z
_atom_site_occupancy
Mn1 Mn 0.6445 0.3555 0.2500 1
Mn2 Mn 0.3555 0.6445 0.7500 1
O1 O 0.3214 0.8590 0.5881 1
O2 O 0.3399 0.3404 0.0793 1
O3 O 0.6596 0.6601 0.4207 1
O4 O 0.6601 0.6596 0.9207 1
O5 O 0.3404 0.3399 0.5793 1
O6 O 0.0933 0.9067 0.2500 1
O7 O 0.6786 0.1410 0.4119 1
O8 O 0.8590 0.3214 0.0881 1
O9 O 0.9067 0.0933 0.7500 1
O10 O 0.1410 0.6786 0.9119 1
Pa1 Pa 0.6949 0.3051 0.7500 1
Pa2 Pa 0.3051 0.6949 0.2500 1
Zn1 Zn 0.0000 0.0000 0.5000 1
Zn2 Zn 0.0000 0.0000 0.0000 1
# energy	-7.53	eV/atom

# Pa2MnZnO8, optimized geometry, DFT GGA+U
data_Pa2MnZnO8
_symmetry_space_group_name_H-M 'P 1'
_symmetry_Int_Tables_number 1
_symmetry_space_group_name_Hall 'P 1'
_cell_length_a 5.2361
_cell_length_b 5.2361
_cell_length_c 6.6152
_cell_angle_alpha 113.31
_cell_angle_beta 113.31
_cell_angle_gamma 90.00
loop_
_atom_site_label
_atom_site_type_symbol
_atom_site_fract_x
_atom_site_fract_y
_atom_site_fract_z
_atom_site_occupancy
O1 O 0.8496 0.9056 0.3482 1
O2 O 0.4986 0.4426 0.3482 1
O3 O 0.6276 0.7353 0.8348 1
O4 O 0.5574 0.1504 0.6518 1
O5 O 0.2072 0.0995 0.8348 1
O6 O 0.2647 0.7928 0.1652 1
O7 O 0.0944 0.5014 0.6518 1
O8 O 0.9005 0.3724 0.1652 1
Zn1 Zn 0.0000 0.0000 0.0000 1
Pa1 Pa 0.5000 0.5000 0.0000 1
Pa2 Pa 0.2500 0.7500 0.5000 1
Mn1 Mn 0.7500 0.2500 0.5000 1
# energy	-8.16	eV/atom
# density of states at the Fermi level	5.30	states/eV/f.u.

# PaMn2ZnO8, optimized geometry, DFT GGA+U
data_PaMn2ZnO8
_symmetry_space_group_name_H-M 'P 1'
_symmetry_Int_Tables_number 1
_symmetry_space_group_name_Hall 'P 1'
_cell_length_a 5.8422
_cell_length_b 5.8422
_cell_length_c 5.8422
_cell_angle_alpha 107.80
_cell_angle_beta 107.80
_cell_angle_gamma 112.86
loop_
_atom_site_label
_atom_site_type_symbol
_atom_site_fract_x
_atom_site_fract_y
_atom_site_fract_z
_atom_site_occupancy
Mn1 Mn 0.7500 0.2500 0.5000 1
Mn2 Mn 0.5000 0.5000 0.0000 1
O1 O 0.7441 0.0570 0.6871 1
O2 O 0.3187 0.5038 0.1852 1
O3 O 0.9430 0.2559 0.3129 1
O4 O 0.3187 0.1335 0.8148 1
O5 O 0.4962 0.6813 0.8148 1
O6 O 0.9430 0.6301 0.6871 1
O7 O 0.3699 0.0570 0.3129 1
O8 O 0.8665 0.6813 0.1852 1
Zn1 Zn 0.2500 0.7500 0.5000 1
Pa1 Pa 0.0000 0.0000 0.0000 1
# energy	-7.14	eV/atom

# ZrPaMnO6, optimized geometry, DFT GGA+U
data_ZrPaMnO6
_symmetry_space_group_name_H-M 'P 1'
_symmetry_Int_Tables_number 1
_symmetry_space_group_name_Hall 'P 1'
_cell_length_a 5.6354
_cell_length_b 5.6354
_cell_length_c 8.7974
_cell_angle_alpha 90.00
_cell_angle_beta 90.00
_cell_angle_gamma 120.00
loop_
_atom_site_label
_atom_site_type_symbol
_atom_site_fract_x
_atom_site_fract_y
_atom_site_fract_z
_atom_site_occupancy
O1 O 0.9930 0.6622 0.3708 1
O2 O 0.0070 0.3378 0.6292 1
O3 O 0.3378 0.3308 0.3708 1
O4 O 0.6622 0.9930 0.8708 1
O5 O 0.6692 0.6622 0.1292 1
O6 O 0.0070 0.6692 0.8708 1
O7 O 0.3378 0.0070 0.1292 1
O8 O 0.6622 0.6692 0.6292 1
O9 O 0.6692 0.0070 0.3708 1
O10 O 0.3308 0.9930 0.6292 1
O11 O 0.3308 0.3378 0.8708 1
O12 O 0.9930 0.3308 0.1292 1
Pa1 Pa 0.6667 0.3333 0.7500 1
Pa2 Pa 0.3333 0.6667 0.2500 1
Zr1 Zr 0.3333 0.6667 0.7500 1
Zr2 Zr 0.6667 0.3333 0.2500 1
Mn1 Mn 0.0000 0.0000 0.0000 1
Mn2 Mn 0.0000 0.0000 0.5000 1
# energy	-8.83	eV/atom
# density of states at the Fermi level	3.57	states/eV/f.u.

# ZrPaMn2O8, optimized geometry, DFT GGA+U
data_ZrPaMn2O8
_symmetry_space_group_name_H-M 'P 1'
_symmetry_Int_Tables_number 1
_symmetry_space_group_name_Hall 'P 1'
_cell_length_a 5.8991
_cell_length_b 5.8991
_cell_length_c 5.8991
_cell_angle_alpha 108.83
_cell_angle_beta 108.83
_cell_angle_gamma 110.77
loop_
_atom_site_label
_atom_site_type_symbol
_atom_site_fract_x
_atom_site_fract_y
_atom_site_fract_z
_atom_site_occupancy
O1 O 0.3086 0.1247 0.8162 1
O2 O 0.3495 0.0332 0.3163 1
O3 O 0.7169 0.0332 0.6837 1
O4 O 0.8753 0.6914 0.1838 1
O5 O 0.9668 0.6505 0.6837 1
O6 O 0.3086 0.4924 0.1838 1
O7 O 0.9668 0.2831 0.3163 1
O8 O 0.5076 0.6914 0.8162 1
Zr1 Zr 0.2500 0.7500 0.5000 1
Mn1 Mn 0.7500 0.2500 0.5000 1
Mn2 Mn 0.5000 0.5000 0.0000 1
Pa1 Pa 0.0000 0.0000 0.0000 1
# energy	-8.43	eV/atom
# density of states at the Fermi level	5.47	states/eV/f.u.

# Mn2PbO3, optimized geometry, DFT GGA+U
data_Mn2PbO3
_symmetry_space_group_name_H-M 'P 1'
_symmetry_Int_Tables_number 1
_symmetry_space_group_name_Hall 'P 1'
_cell_length_a 3.1023
_cell_length_b 5.4987
_cell_length_c 10.8011
_cell_angle_alpha 90.00
_cell_angle_beta 90.00
_cell_angle_gamma 90.00
loop_
_atom_site_label
_atom_site_type_symbol
_atom_site_fract_x
_atom_site_fract_y
_atom_site_fract_z
_atom_site_occupancy
O1 O 0.5000 0.7312 0.8056 1
O2 O 0.0000 0.7116 0.5457 1
O3 O 0.5000 0.2292 0.7205 1
O4 O 0.5000 0.7292 0.2795 1
O5 O 0.5000 0.2312 0.1944 1
O6 O 0.0000 0.2116 0.4543 1
Pb1 Pb 0.0000 0.0192 0.8672 1
Pb2 Pb 0.0000 0.5192 0.1328 1
Mn1 Mn 0.5000 0.9972 0.5605 1
Mn2 Mn 0.5000 0.4972 0.4395 1
Mn3 Mn 0.0000 0.5129 0.7128 1
Mn4 Mn 0.0000 0.0129 0.2872 1
# energy	-6.89	eV/atom